# Nd2Ga3CoNi12, relaxed, DFT PBE
# Space-group type ... R-3m
# Final energy ... -5.25 eV/atom
data_Nd2Ga3CoNi12
_chemical_formula_sum 'Nd2 Ga3 Co1 Ni12'
_cell_length_a 9.124
_cell_length_b 9.124
_cell_length_c 9.124
_cell_angle_alpha 39.07
_cell_angle_beta 39.07
_cell_angle_gamma 39.07
_space_group_name_H-M_alt 'P 1'
_space_group_IT_number 1
loop_
_space_group_symop_operation_xyz
'x,y,z'
loop_
_atom_site_label
_atom_site_type_symbol
_atom_site_fract_x
_atom_site_fract_y
_atom_site_fract_z
Co1 Co 0.000 0.000 0.000
Ni1 Ni 0.932 0.347 0.932
Ni2 Ni 0.653 0.068 0.068
Ni3 Ni 0.188 0.581 0.581
Ga1 Ga 0.000 0.000 0.500
Ni4 Ni 0.581 0.188 0.581
Ni5 Ni 0.812 0.419 0.419
Ga2 Ga 0.000 0.500 0.000
Ni6 Ni 0.581 0.581 0.188
Ga3 Ga 0.500 0.000 0.000
Ni7 Ni 0.932 0.932 0.347
Ni8 Ni 0.347 0.932 0.932
Nd1 Nd 0.654 0.654 0.654
Nd2 Nd 0.346 0.346 0.346
Ni9 Ni 0.068 0.653 0.068
Ni10 Ni 0.068 0.068 0.653
Ni11 Ni 0.419 0.419 0.812
Ni12 Ni 0.419 0.812 0.419